[1]
# PBE-GGA LiAc2Mn2N6, relaxed
# **Energy relative to the elements, uncorrected**: -0.52 eV per atom
# **Total energy**: -7.653 eV/atom
# **ρ**: 6896 kg/m³
data_LiAc2Mn2N6
_chemical_formula_sum 'Li3 Ac6 Mn6 N18'
_cell_length_a 5.7195
_cell_length_b 5.7195
_cell_length_c 16.6997
_cell_angle_alpha 90.00
_cell_angle_beta 90.00
_cell_angle_gamma 120.00
_symmetry_space_group_name_H-M 'R -3 m'
_symmetry_Int_Tables_number 166
_symmetry_space_group_name_Hall '-R 3 2"'
loop_
_atom_site_label
_atom_site_fract_x
_atom_site_fract_y
_atom_site_fract_z
_atom_site_occupancy
Li1 0.0000 0.0000 0.0000 1
Ac1 0.0000 0.0000 0.2386 1
Mn1 0.0000 0.0000 0.4322 1
N1 0.0037 0.5019 0.2535 1

---

[2]
# PBE-GGA Ag2HgSbBr, relaxed
# **Energy relative to the elements, uncorrected**: 0.72 eV per atom
# **Total energy**: -1.645 eV/atom
# **ρ**: 6387 kg/m³
data_Ag2HgSbBr
_chemical_formula_sum 'Ag2 Hg1 Sb1 Br1'
_cell_length_a 5.358
_cell_length_b 5.358
_cell_length_c 5.597
_cell_angle_alpha 90.00
_cell_angle_beta 90.00
_cell_angle_gamma 90.00
_symmetry_space_group_name_H-M 'P 4/m m m'
_symmetry_Int_Tables_number 123
_symmetry_space_group_name_Hall '-P 4 2'
loop_
_atom_site_label
_atom_site_fract_x
_atom_site_fract_y
_atom_site_fract_z
_atom_site_occupancy
Ag1 0.000 0.500 0.000 1
Hg1 0.000 0.000 0.000 1
Sb1 0.500 0.500 0.500 1
Br1 0.000 0.000 0.500 1

---

[3]
# PBE-GGA Sn3AsSe6, relaxed
# **Energy relative to the elements, uncorrected**: -0.29 eV per atom
# **Total energy**: -4.048 eV/atom
# **ρ**: 5431 kg/m³
data_Sn3AsSe6
_chemical_formula_sum 'Sn6 As2 Se12'
_cell_length_a 9.649
_cell_length_b 3.933
_cell_length_c 14.748
_cell_angle_alpha 90.00
_cell_angle_beta 98.71
_cell_angle_gamma 90.00
_symmetry_space_group_name_H-M 'P 1 21/m 1'
_symmetry_Int_Tables_number 11
_symmetry_space_group_name_Hall '-P 2yb'
loop_
_atom_site_label
_atom_site_fract_x
_atom_site_fract_y
_atom_site_fract_z
_atom_site_occupancy
Sn1 0.053 0.250 0.145 1
Sn2 0.146 0.750 0.576 1
Sn3 0.438 0.250 0.730 1
As1 0.344 0.750 0.048 1
Se1 0.142 0.250 0.445 1
Se2 0.146 0.250 0.709 1
Se3 0.167 0.250 0.982 1
Se4 0.252 0.750 0.209 1
Se5 0.434 0.750 0.599 1
Se6 0.463 0.750 0.887 1

---

[4]
# PBE-GGA Rb2NaPuO5, relaxed
# **Energy relative to the elements, uncorrected**: -2.03 eV per atom
# **Total energy**: -6.739 eV/atom
# **ρ**: 4977 kg/m³
data_Rb2NaPuO5
_chemical_formula_sum 'Rb4 Na2 Pu2 O10'
_cell_length_a 4.296
_cell_length_b 6.074
_cell_length_c 13.243
_cell_angle_alpha 90.00
_cell_angle_beta 90.00
_cell_angle_gamma 90.00
_symmetry_space_group_name_H-M 'I m m m'
_symmetry_Int_Tables_number 71
_symmetry_space_group_name_Hall '-I 2 2'
loop_
_atom_site_label
_atom_site_fract_x
_atom_site_fract_y
_atom_site_fract_z
_atom_site_occupancy
Rb1 0.000 0.000 0.222 1
Na1 0.000 0.500 0.000 1
Pu1 0.000 0.500 0.500 1
O1 0.000 0.000 0.000 1
O2 0.000 0.273 0.395 1

---

Which value of ρ does entry 2 give? 6387 kg/m³